The following is a DFT calculation (GGA+U) of an optimized crystal structure of Tl3V2CrF9.

## Properties
The density of states at the Fermi level comes out at 0.436 states/eV/atom. As for the total magnetic moment: 10.0 Bohr magnetons per cell. As for the symmetry: P-3m1, No. 164. The total energy comes out at -5.36 eV/atom.

Lattice parameters (Å, degrees): 6.0528 6.0528 7.4194 90.00 90.00 120.00
Site moments in Bohr magnetons follow the coordinates.
Element x y z (fractional)
Cr: 0.0000 0.0000 0.5000  3.79
F: 0.1663 0.3326 0.3338  0.01
F: 0.3326 0.1663 0.6662  0.01
F: 0.8337 0.1663 0.6662  0.01
Tl: 0.3333 0.6667 0.6675  0.00
F: 0.8337 0.6674 0.6662  0.01
V: 0.3333 0.6667 0.1667  2.76
F: 0.5000 0.5000 0.0000  0.01
Tl: 0.0000 0.0000 0.0000  0.00
V: 0.6667 0.3333 0.8333  2.76
F: 0.5000 0.0000 0.0000  0.01
F: 0.6674 0.8337 0.3338  0.01
F: 0.0000 0.5000 0.0000  0.01
F: 0.1663 0.8337 0.3338  0.01
Tl: 0.6667 0.3333 0.3325  0.00